[1]
Entry from Alexandria via LeMat-Bulk: a geometry-optimized SrSi3I structure (PBE). Values from VASP.

```
&SYSTEM
  ibrav = 0, nat = 5, ntyp = 3
/
ATOMIC_SPECIES
Sr 87.62 Sr.upf
Si 28.09 Si.upf
I 126.90 I.upf
CELL_PARAMETERS angstrom
5.366 0.000 0.000
0.000 5.366 0.000
0.000 0.000 5.366
ATOMIC_POSITIONS crystal
Sr 0.000 0.000 0.000
Si 0.000 0.500 0.500
Si 0.500 0.000 0.500
Si 0.500 0.500 0.000
I 0.500 0.500 0.500
```

Summary:
formation energy from raw total energies = 0.961 eV per atom
E above lowest polymorph = 0 meV per atom

***

[2]
Entry from Alexandria via LeMat-Bulk: a geometry-optimized Sr3SiI3 structure (PBE). Values from VASP.

```
&SYSTEM
  ibrav = 0, nat = 28, ntyp = 3
/
ATOMIC_SPECIES
Sr 87.62 Sr.upf
Si 28.09 Si.upf
I 126.90 I.upf
CELL_PARAMETERS angstrom
-6.626 6.626 6.626
6.626 -6.626 6.626
6.626 6.626 -6.626
ATOMIC_POSITIONS crystal
Sr 0.010 0.020 0.260
Sr 0.010 0.490 0.750
Sr 0.020 0.260 0.010
Sr 0.240 0.260 0.750
Sr 0.240 0.480 0.490
Sr 0.260 0.010 0.020
Sr 0.260 0.750 0.240
Sr 0.480 0.490 0.240
Sr 0.490 0.240 0.480
Sr 0.490 0.750 0.010
Sr 0.750 0.010 0.490
Sr 0.750 0.240 0.260
Si 0.000 0.250 0.500
Si 0.250 0.250 0.250
Si 0.250 0.500 0.000
Si 0.500 0.000 0.250
I 0.250 0.753 0.747
I 0.250 0.997 0.503
I 0.503 0.250 0.997
I 0.503 0.753 0.506
I 0.506 0.503 0.753
I 0.747 0.250 0.753
I 0.747 0.997 0.994
I 0.753 0.506 0.503
I 0.753 0.747 0.250
I 0.994 0.747 0.997
I 0.997 0.503 0.250
I 0.997 0.994 0.747
```

Summary:
formation energy from raw total energies = -1.180 eV per atom

***

[3]
Entry from Alexandria via LeMat-Bulk: a geometry-optimized SrSiI3 structure (PBE). Values from VASP.

```
&SYSTEM
  ibrav = 0, nat = 5, ntyp = 3
/
ATOMIC_SPECIES
Sr 87.62 Sr.upf
Si 28.09 Si.upf
I 126.90 I.upf
CELL_PARAMETERS angstrom
5.729 0.000 0.000
0.000 5.729 0.000
0.000 0.000 5.729
ATOMIC_POSITIONS crystal
Sr 0.000 0.000 0.000
Si 0.500 0.500 0.500
I 0.000 0.500 0.500
I 0.500 0.000 0.500
I 0.500 0.500 0.000
```

Summary:
formation energy from raw total energies = -0.446 eV per atom
E above lowest polymorph = 0 meV per atom

***

[4]
Entry from Alexandria via LeMat-Bulk: a geometry-optimized Sr2SiI structure (PBE). Values from VASP.

```
&SYSTEM
  ibrav = 0, nat = 4, ntyp = 3
/
ATOMIC_SPECIES
Sr 87.62 Sr.upf
Si 28.09 Si.upf
I 126.90 I.upf
CELL_PARAMETERS angstrom
2.257 1.303 8.380
-2.257 1.303 8.380
0.000 -2.606 8.380
ATOMIC_POSITIONS crystal
Sr 0.237 0.237 0.237
Sr 0.763 0.763 0.763
Si 0.500 0.500 0.500
I 0.000 0.000 0.000
```

Summary:
formation energy from raw total energies = -0.790 eV per atom
E above lowest polymorph = 0 meV per atom

***

[5]
Entry from Alexandria via LeMat-Bulk: a geometry-optimized Sr3SiI2 structure (PBE). Values from VASP.

```
&SYSTEM
  ibrav = 0, nat = 24, ntyp = 3
/
ATOMIC_SPECIES
Sr 87.62 Sr.upf
Si 28.09 Si.upf
I 126.90 I.upf
CELL_PARAMETERS angstrom
0.000 6.795 14.203
4.858 0.000 14.203
4.858 6.795 0.000
ATOMIC_POSITIONS crystal
Sr 0.029 0.537 0.175
Sr 0.076 0.674 0.674
Sr 0.175 0.760 0.029
Sr 0.240 0.825 0.463
Sr 0.326 0.924 0.924
Sr 0.463 0.971 0.240
Sr 0.537 0.029 0.760
Sr 0.674 0.076 0.076
Sr 0.760 0.175 0.537
Sr 0.825 0.240 0.971
Sr 0.924 0.326 0.326
Sr 0.971 0.463 0.825
Si 0.041 0.041 0.209
Si 0.209 0.209 0.041
Si 0.791 0.791 0.959
Si 0.959 0.959 0.791
I 0.131 0.131 0.619
I 0.298 0.298 0.452
I 0.381 0.381 0.869
I 0.452 0.452 0.298
I 0.548 0.548 0.702
I 0.619 0.619 0.131
I 0.702 0.702 0.548
I 0.869 0.869 0.381
```

Summary:
formation energy from raw total energies = -1.076 eV per atom

***

[6]
Entry from Alexandria via LeMat-Bulk: a geometry-optimized Sr2SiI structure (PBE). Values from VASP.

```
&SYSTEM
  ibrav = 0, nat = 4, ntyp = 3
/
ATOMIC_SPECIES
Sr 87.62 Sr.upf
Si 28.09 Si.upf
I 126.90 I.upf
CELL_PARAMETERS angstrom
0.000 4.023 4.023
4.023 0.000 4.023
4.023 4.023 0.000
ATOMIC_POSITIONS crystal
Sr 0.250 0.250 0.250
Sr 0.750 0.750 0.750
Si 0.000 0.000 0.000
I 0.500 0.500 0.500
```

Summary:
formation energy from raw total energies = -0.543 eV per atom
E above lowest polymorph = 248 meV per atom